Record 1
The following is a PBE calculation of an optimized crystal structure of Pm7Pd2Ru2, from the Alexandria database.

abc: 7.9874 11.0282 6.9854
angles: 90.00 90.00 90.00
Space group Cmmm (No. 65)
One atom of each set of equivalent atoms:
Pm (0.0000, 0.0000, 0.0000)
Pm (0.0000, 0.5000, 0.2536)
Pm (0.2500, 0.2500, 0.2648)
Pd (0.1829, 0.0000, 0.5000)
Ru (0.0000, 0.2927, 0.0000)

Computed properties:
Energy of formation from the pure elements   -274 meV/atom
Volume   27.97 Å³ per atom
Fermi-level density of states   0.5277 states/eV/atom

***

Record 2
The following is a PBE calculation of an optimized crystal structure of LiLa2BiO6, from the Alexandria database.

abc: 5.7346 5.9954 9.9677
angles: 90.00 123.97 90.00
Space group P2_1/c (No. 14)
One atom of each set of equivalent atoms:
Li (0.0000, 0.0000, 0.0000)
La (0.2281, 0.0594, 0.7478)
Bi (0.5000, 0.0000, 0.5000)
O (0.1436, 0.1929, 0.4438)
O (0.2448, 0.7056, 0.4350)
O (0.3714, 0.0471, 0.2547)

Computed properties:
Volume   14.21 Å³ per atom
Raw formation energy   -54.6 kcal/mol of atoms
Fermi-level density of states   0.0000 states/eV/atom

***

Record 3
The following is a PBE calculation of an optimized crystal structure of U2Fe12P7, from the Alexandria database.

abc: 8.9712 8.9712 3.5952
angles: 90.00 90.00 120.00
Space group P-6 (No. 174)
One atom of each set of equivalent atoms:
U (0.0000, 0.0000, 0.0000)
U (0.3333, 0.6667, 0.5000)
Fe (0.0472, 0.7752, 0.5000)
Fe (0.1052, 0.4026, 0.0000)
Fe (0.3922, 0.2093, 0.0000)
Fe (0.5441, 0.1049, 0.5000)
P (0.0695, 0.6309, 0.0000)
P (0.2696, 0.0419, 0.5000)
P (0.6667, 0.3333, 0.0000)

Computed properties:
Energy of formation from the pure elements   -682 meV/atom
Volume   11.93 Å³ per atom
Fermi-level density of states   0.4999 states/eV/atom

***

Record 4
The following is a PBE calculation of an optimized crystal structure of V5Os3, from the Alexandria database.

abc: 6.0215 6.0215 6.0215
angles: 90.00 90.00 90.00
Space group Im-3m (No. 229)
One atom of each set of equivalent atoms:
V (0.0000, 0.0000, 0.0000)
V (0.2500, 0.2500, 0.2500)
Os (0.0000, 0.0000, 0.5000)

Computed properties:
Energy of formation from the pure elements   -343 meV/atom
Volume   13.65 Å³ per atom
Fermi-level density of states   0.5515 states/eV/atom

***

Record 5
The following is a PBE calculation of an optimized crystal structure of NdAg2IO6, from the Alexandria database.

abc: 5.7932 5.9650 9.9703
angles: 90.00 125.13 90.00
Space group P2_1/c (No. 14)
One atom of each set of equivalent atoms:
Nd (0.0000, 0.0000, 0.0000)
Ag (0.2293, 0.0008, 0.7463)
I (0.5000, 0.0000, 0.5000)
O (0.2203, 0.2250, 0.4383)
O (0.2225, 0.7272, 0.9380)
O (0.4004, 0.0011, 0.2803)

Computed properties:
Volume   14.09 Å³ per atom
Raw formation energy   -23.4 kcal/mol of atoms

***

Record 6
The following is a PBE calculation of an optimized crystal structure of SiTcTe4, from the Alexandria database.

abc: 8.8128 8.8128 8.8128
angles: 90.00 90.00 90.00
Space group F-43m (No. 216)
One atom of each set of equivalent atoms:
Si (0.0000, 0.0000, 0.0000)
Tc (0.2500, 0.2500, 0.7500)
Te (0.1251, 0.1251, 0.3749)

Computed properties:
Volume   28.52 Å³ per atom
Raw formation energy   29.2 kcal/mol of atoms
Fermi-level density of states   0.6836 states/eV/atom